## LuPuInGe (PBE)

Data for a relaxed structure of LuPuInGe.

Summary:
total energy: -6.87 eV per atom
E_form: -30.31 kJ/mol of atoms

a = 7.288 Å, b = 7.288 Å, c = 7.288 Å
α = 90.00°, β = 90.00°, γ = 90.00°
Space group F-43m (No. 216)
Symmetry-distinct sites (fractional):
Lu (0.000, 0.000, 0.000) (multiplicity 4)
Pu (0.000, 0.000, 0.500) (multiplicity 4)
In (0.250, 0.250, 0.750) (multiplicity 4)
Ge (0.250, 0.250, 0.250) (multiplicity 4)